No. 1
Below is a relaxed Sr3Fe2N4 crystal, with properties calculated at the PBEsol level.

Results
E_tot: -6.981 eV/atom
total magnetic moment: 0.00 μB per formula unit
formation energy from raw total energies: -586 meV per atom

Cell: 11.081 8.477 5.406 Å, 90.00 94.93 90.00°
Space group C2/c (No. 15)
Unique sites:
1 Sr 0.000 0.096 0.250 (multiplicity 4)
2 Sr 0.125 0.366 0.553 (multiplicity 8)
3 Fe 0.210 0.127 0.928 (multiplicity 8)
4 N 0.128 0.311 0.030 (multiplicity 8)
5 N 0.179 0.052 0.611 (multiplicity 8)

=====

No. 2
Below is a relaxed SrFe3N crystal, with properties calculated at the PBEsol level.

Results
E_tot: -4.050 eV/atom
total magnetic moment: 7.99 μB per formula unit
formation energy from raw total energies: 3401 meV per atom

Cell: 4.545 4.545 4.545 Å, 90.00 90.00 90.00°
Space group Pm-3m (No. 221)
Unique sites:
1 Sr 0.000 0.000 0.000 (multiplicity 1)
2 Fe 0.000 0.000 0.500 (multiplicity 3)
3 N 0.500 0.500 0.500 (multiplicity 1)

=====

No. 3
Below is a relaxed Sr3Fe2N4 crystal, with properties calculated at the PBEsol level.

Results
E_tot: -7.010 eV/atom
total magnetic moment: 3.61 μB per formula unit
formation energy from raw total energies: -615 meV per atom

Cell: 5.787 9.698 9.367 Å, 90.00 90.00 90.00°
Space group Pnna (No. 52)
Unique sites:
1 Sr 0.114 0.157 0.083 (multiplicity 8)
2 Sr 0.250 0.000 0.401 (multiplicity 4)
3 Fe 0.150 0.250 0.750 (multiplicity 4)
4 Fe 0.250 0.000 0.733 (multiplicity 4)
5 N 0.014 0.088 0.829 (multiplicity 8)
6 N 0.144 0.645 0.872 (multiplicity 8)

=====

No. 4
Below is a relaxed Sr3Fe3N5 crystal, with properties calculated at the PBEsol level.

Results
E_tot: -7.445 eV/atom
total magnetic moment: 0.18 μB per formula unit
formation energy from raw total energies: -623 meV per atom

Cell: 5.498 7.048 8.453 Å, 108.84 103.22 95.31°
Space group P-1 (No. 2)
Unique sites:
1 Sr 0.161 0.179 0.211 (multiplicity 2)
2 Sr 0.161 0.363 0.876 (multiplicity 2)
3 Sr 0.312 0.915 0.611 (multiplicity 2)
4 Fe 0.177 0.463 0.575 (multiplicity 2)
5 Fe 0.411 0.824 0.977 (multiplicity 2)
6 Fe 0.412 0.610 0.293 (multiplicity 2)
7 N 0.144 0.555 0.387 (multiplicity 2)
8 N 0.261 0.031 0.920 (multiplicity 2)
9 N 0.299 0.222 0.531 (multiplicity 2)
10 N 0.333 0.726 0.130 (multiplicity 2)
11 N 0.419 0.620 0.781 (multiplicity 2)

=====

No. 5
Below is a relaxed Ta4Fe2N crystal, with properties calculated at the PBEsol level.

Results
E_tot: -11.541 eV/atom
total magnetic moment: 0.00 μB per formula unit
formation energy from raw total energies: -590 meV per atom

Cell: 11.479 11.479 11.479 Å, 90.00 90.00 90.00°
Space group Fd-3m (No. 227, origin choice 2)
Unique sites:
1 Ta 0.000 0.000 0.000 (multiplicity 16)
2 Ta 0.063 0.375 0.875 (multiplicity 48)
3 Fe 0.037 0.037 0.213 (multiplicity 32)
4 N 0.000 0.000 0.500 (multiplicity 16)

=====

No. 6
Below is a relaxed Tb2Fe17N3 crystal, with properties calculated at the PBEsol level.

Results
E_tot: -8.806 eV/atom
total magnetic moment: 35.51 μB per formula unit
formation energy from raw total energies: -261 meV per atom

Cell: 8.4669 8.4669 12.3150 Å, 90.00 90.00 120.00°
Space group R-3m (No. 166, hexagonal axes)
Unique sites:
1 Tb 0.0000 0.0000 0.1575 (multiplicity 6)
2 Fe 0.0000 0.0000 0.4050 (multiplicity 6)
3 Fe 0.0000 0.2821 0.5000 (multiplicity 18)
4 Fe 0.0000 0.5000 0.0000 (multiplicity 9)
5 Fe 0.0085 0.5043 0.3472 (multiplicity 18)
6 N 0.0000 0.5000 0.5000 (multiplicity 9)

=====

No. 7
Below is a relaxed FeTcN2 crystal, with properties calculated at the PBEsol level.

Results
E_tot: -8.849 eV/atom
total magnetic moment: 0.68 μB per formula unit
formation energy from raw total energies: 472 meV per atom

Cell: 5.094 5.094 5.094 Å, 90.00 90.00 90.00°
Space group Fm-3m (No. 225)
Unique sites:
1 Fe 0.000 0.000 0.000 (multiplicity 4)
2 Tc 0.000 0.000 0.500 (multiplicity 4)
3 N 0.250 0.250 0.250 (multiplicity 8)

=====

No. 8
Below is a relaxed FeTcN2 crystal, with properties calculated at the PBEsol level.

Results
E_tot: -9.522 eV/atom
total magnetic moment: 0.00 μB per formula unit
formation energy from raw total energies: -201 meV per atom

Cell: 4.450 4.450 8.271 Å, 90.00 90.00 90.00°
Space group I-42d (No. 122)
Unique sites:
1 Fe 0.000 0.000 0.000 (multiplicity 4)
2 Tc 0.000 0.000 0.500 (multiplicity 4)
3 N 0.225 0.250 0.125 (multiplicity 8)